[1]
! Li5Hg8Pb PBE optimized geometry; values from VASP
! DOS at the Fermi energy ... 6.15 states/eV per cell
! E_form ... -0.21 eV/atom
! Space group ... I-4
&SYSTEM
  ibrav = 0, nat = 14, ntyp = 3
/
ATOMIC_SPECIES
Pb 207.20 Pb.upf
Li 6.94 Li.upf
Hg 200.59 Hg.upf
ATOMIC_POSITIONS angstrom
Pb 0.109 2.956 3.712
Li 3.263 3.812 1.765
Li 2.879 5.450 -2.627
Li 3.656 0.000 2.615
Li 2.101 0.462 6.189
Li -0.931 2.101 -0.098
Hg 1.153 5.658 2.668
Hg -1.936 4.384 1.483
Hg 1.469 3.581 -0.829
Hg 4.434 1.529 0.304
Hg -1.877 4.413 -1.656
Hg 1.483 1.499 1.373
Hg 3.346 2.332 4.273
Hg 6.554 0.255 2.844
CELL_PARAMETERS angstrom
7.096 0.000 -2.195
-3.656 5.913 -2.615
0.217 0.000 7.424

---

[2]
! Cs2HgPt PBE optimized geometry; values from VASP
! Polymorph energy (0 for the lowest one) ... 185 meV/atom
! E_form ... -0.01 eV/atom
! Space group ... Fm-3m
&SYSTEM
  ibrav = 0, nat = 4, ntyp = 3
/
ATOMIC_SPECIES
Cs 132.91 Cs.upf
Hg 200.59 Hg.upf
Pt 195.08 Pt.upf
ATOMIC_POSITIONS angstrom
Cs 3.017 1.742 1.232
Cs 9.051 5.226 3.695
Hg 0.000 0.000 0.000
Pt 6.034 3.484 2.463
CELL_PARAMETERS angstrom
6.034 0.000 0.000
3.017 5.226 0.000
3.017 1.742 4.927

---

[3]
! Ca4ZnPt3 PBE optimized geometry; values from VASP
! DOS at the Fermi energy ... 4.94 states/eV per cell
! E_form ... -0.81 eV/atom
! Space group ... I4/mcm
&SYSTEM
  ibrav = 0, nat = 16, ntyp = 3
/
ATOMIC_SPECIES
Pt 195.08 Pt.upf
Ca 40.08 Ca.upf
Zn 65.41 Zn.upf
ATOMIC_POSITIONS angstrom
Pt 2.088 3.973 2.503
Pt 3.959 1.662 5.617
Pt 3.959 6.284 5.617
Pt 3.964 0.000 1.404
Pt 1.321 0.000 0.468
Pt 5.830 3.973 8.730
Ca 2.990 5.520 8.351
Ca 6.085 6.874 8.011
Ca 2.990 2.426 8.351
Ca 0.800 1.072 6.139
Ca 4.927 2.426 2.882
Ca 4.927 5.520 2.882
Ca 7.118 6.874 5.094
Ca 1.833 1.072 3.222
Zn 5.280 3.973 6.084
Zn 2.637 3.973 5.149
CELL_PARAMETERS angstrom
5.285 0.000 1.872
2.642 7.946 0.936
-0.010 0.000 8.426

---

[4]
! CsNaSn PBE optimized geometry; values from VASP
! Polymorph energy (0 for the lowest one) ... 102 meV/atom
! DOS at the Fermi energy ... 4.72 states/eV per cell
! E_form ... -0.08 eV/atom
! Space group ... P2_12_12_1
&SYSTEM
  ibrav = 0, nat = 12, ntyp = 3
/
ATOMIC_SPECIES
Na 22.99 Na.upf
Cs 132.91 Cs.upf
Sn 118.71 Sn.upf
ATOMIC_POSITIONS angstrom
Na -4.217 -10.561 -0.311
Na -4.953 -4.716 0.458
Na -8.423 -12.897 -2.476
Na -3.847 -2.398 -4.167
Cs -7.049 -13.745 1.000
Cs -5.593 -9.712 -3.789
Cs -6.695 -5.578 -2.845
Cs -2.104 -1.536 -0.860
Sn -5.439 -7.963 1.234
Sn -5.824 0.199 -4.243
Sn -6.452 -15.492 -2.397
Sn -3.726 -7.316 -1.089
CELL_PARAMETERS angstrom
-4.085 1.066 1.884
-3.129 -0.011 -6.777
-3.507 -16.341 1.645

---

[5]
! Ti3CdGa PBE optimized geometry; values from VASP
! Polymorph energy (0 for the lowest one) ... 664 meV/atom
! DOS at the Fermi energy ... 8.76 states/eV per cell
! E_form ... 1.14 eV/atom
! Space group ... Pm-3m
&SYSTEM
  ibrav = 0, nat = 5, ntyp = 3
/
ATOMIC_SPECIES
Ti 47.87 Ti.upf
Cd 112.41 Cd.upf
Ga 69.72 Ga.upf
ATOMIC_POSITIONS angstrom
Ti 0.000 0.000 2.462
Ti 0.000 2.462 0.000
Ti 2.462 0.000 0.000
Cd 0.000 0.000 0.000
Ga 2.462 2.462 2.462
CELL_PARAMETERS angstrom
4.924 0.000 0.000
0.000 4.924 0.000
0.000 0.000 4.924

---

[6]
! LaSbI2O PBE optimized geometry; values from VASP
! Polymorph energy (0 for the lowest one) ... 1049 meV/atom
! Energy relative to the elements, uncorrected ... 0.025 eV/atom
! DOS at the Fermi energy ... 2.28 states/eV per cell
! Space group ... P4/mmm
&SYSTEM
  ibrav = 0, nat = 5, ntyp = 4
/
ATOMIC_SPECIES
Sb 121.76 Sb.upf
La 138.91 La.upf
I 126.90 I.upf
O 16.00 O.upf
ATOMIC_POSITIONS angstrom
Sb 0.074 2.297 2.389
La 0.000 0.000 0.000
I 0.979 -2.151 2.037
I -2.962 -0.660 0.727
O -1.908 -0.513 5.153
CELL_PARAMETERS angstrom
-5.923 -1.319 1.453
1.958 -4.301 4.074
0.149 4.594 4.778

---

[7]
! Pm2CuPtO5 PBE optimized geometry; values from VASP
! Energy relative to the elements, uncorrected ... -1.789 eV/atom
! DOS at the Fermi energy ... 14.15 states/eV per cell
! Space group ... P4/mbm
&SYSTEM
  ibrav = 0, nat = 18, ntyp = 4
/
ATOMIC_SPECIES
O 16.00 O.upf
Cu 63.55 Cu.upf
Pm 145.00 Pm.upf
Pt 195.08 Pt.upf
ATOMIC_POSITIONS angstrom
O -2.115 -2.738 3.106
O -4.318 1.271 2.220
O -7.463 -0.602 1.568
O -6.613 -2.979 4.297
O -4.789 -1.670 2.337
O -5.260 -4.611 2.455
O -6.111 -2.233 -0.275
O -1.383 1.667 1.884
O -2.965 -0.360 0.377
O -3.468 -1.107 4.949
Cu -3.406 -3.337 0.454
Cu 0.000 0.000 0.000
Pm -4.067 -3.173 4.197
Pm -5.511 -0.167 0.477
Pm -6.856 -3.040 2.032
Pm -2.722 -0.300 2.642
Pt -2.930 -0.660 -1.566
Pt -0.477 -2.677 2.020
CELL_PARAMETERS angstrom
-2.766 3.335 3.767
-5.859 -1.321 -3.133
-0.953 -5.354 4.040

---

[8]
! PmNbTe2 PBE optimized geometry; values from VASP
! Energy relative to the elements, uncorrected ... 0.002 eV/atom
! DOS at the Fermi energy ... 4.08 states/eV per cell
! Space group ... R-3m
&SYSTEM
  ibrav = 0, nat = 4, ntyp = 3
/
ATOMIC_SPECIES
Te 127.60 Te.upf
Nb 92.91 Nb.upf
Pm 145.00 Pm.upf
ATOMIC_POSITIONS angstrom
Te 1.065 -6.879 -1.228
Te 1.809 -3.831 -6.616
Nb 0.000 0.000 0.000
Pm 1.437 -5.355 -3.922
CELL_PARAMETERS angstrom
-1.273 -0.797 -3.969
2.857 -0.309 -3.123
1.290 -9.604 -0.753

---

no.,calculated volume (Å³/cell)
1,314.3
2,155.4
3,354.0
4,579.5
5,119.4
6,258.2
7,263.5
8,146.7